(1)
# BaInCl5

BaInCl5 after structural relaxation (PBE, Alexandria).

The space group is C2/c (No. 15) and the conventional cell measures 11.556, 10.292 and 11.418 Å, with angles of 90.00, 119.65 and 90.00 degrees. The inequivalent atoms are Ba at (0.000, 0.000, 0.000), In at (0.000, 0.423, 0.250), Cl at (0.000, 0.077, 0.750), Cl at (0.039, 0.297, 0.443) and Cl at (0.190, 0.440, 0.817).

(2)
# BaInCl2

BaInCl2 after structural relaxation (PBE, Alexandria).

The space group is P2/m (No. 10) and the conventional cell measures 3.865, 3.793 and 9.687 Å, with angles of 90.00, 90.34 and 90.00 degrees. The inequivalent atoms are Ba at (0.000, 0.000, 0.000), In at (0.500, 0.000, 0.500) and Cl at (0.497, 0.500, 0.825).

(3)
# BaIn3Cl

BaIn3Cl after structural relaxation (PBE, Alexandria).

The space group is Pm-3m (No. 221) and the conventional cell measures 6.648, 6.648 and 6.648 Å, with angles of 90.00, 90.00 and 90.00 degrees. The inequivalent atoms are Ba at (0.000, 0.000, 0.000), In at (0.000, 0.000, 0.500) and Cl at (0.500, 0.500, 0.500).

(4)
# BaIn2Cl4

BaIn2Cl4 after structural relaxation (PBE, Alexandria).

The space group is Pnma (No. 62) and the conventional cell measures 13.291, 4.377 and 15.940 Å, with angles of 90.00, 90.00 and 90.00 degrees. The inequivalent atoms are Ba at (0.209, 0.250, 0.157), In at (0.024, 0.750, 0.406), In at (0.122, 0.750, 0.892), Cl at (0.047, 0.750, 0.101), Cl at (0.049, 0.750, 0.703), Cl at (0.197, 0.250, 0.541) and Cl at (0.225, 0.750, 0.297).

| no. | DFT total energy (eV per cell) |
| --- | --- |
| 1 | -101.5 |
| 2 | -14.3 |
| 3 | -9.3 |
| 4 | -101.8 |